Entry from Alexandria: a crystal of YScCo4 relaxed with PBEsol (SCAN).

M_tot: 3.91 μB/f.u.
ΔE_f: -0.19 eV per atom
V: 13.76 Å³/atom

a = 4.887 Å, b = 4.887 Å, c = 4.887 Å
α = 60.00°, β = 60.00°, γ = 60.00°
Atoms (fractional coordinates):
Y (0.000, 0.000, 0.000)
Sc (0.250, 0.250, 0.250)
Co (0.127, 0.624, 0.624)
Co (0.624, 0.127, 0.624)
Co (0.624, 0.624, 0.127)
Co (0.624, 0.624, 0.624)